1.
First-principles (PBE) data for crystalline PuPaBeTc at its relaxed geometry, as listed in the Alexandria database.

Energy: -9.51 eV/atom
ΔH_f (0 K): -0.03 eV/atom
Magnetic moment: 1.129 μB per atom
Fermi-level density of states: 0.805 states/eV/atom
Crystal system: cubic
V: 70 Å³/cell

Lattice parameters (Å, degrees): 4.626 4.626 4.626 60.00 60.00 60.00
Fractional positions:
Be (0.500, 0.500, 0.500)
Pa (0.000, 0.000, 0.000)
Tc (0.750, 0.750, 0.750)
Pu (0.250, 0.250, 0.250)

***

2.
First-principles (PBE) data for crystalline Rb2PaBeS5 at its relaxed geometry, as listed in the Alexandria database.

Energy: -5.15 eV/atom
Magnetic moment: 0.120 μB per atom
Fermi-level density of states: 0.439 states/eV/atom
Crystal system: orthorhombic
Raw formation energy: -1174 meV per atom
V: 545 Å³/cell

Lattice parameters (Å, degrees): 4.022 9.892 13.978 90.00 90.00 101.73
Fractional positions:
Rb (0.876, 0.751, 0.839)
Rb (0.127, 0.255, 0.689)
Rb (0.124, 0.249, 0.339)
Rb (0.873, 0.745, 0.189)
Pa (0.805, 0.610, 0.523)
Pa (0.195, 0.390, 0.023)
Be (0.579, 0.158, 0.920)
Be (0.421, 0.842, 0.420)
S (0.323, 0.646, 0.015)
S (0.687, 0.374, 0.892)
S (0.514, 0.028, 0.808)
S (0.313, 0.627, 0.647)
S (0.942, 0.884, 0.491)
S (0.677, 0.354, 0.515)
S (0.313, 0.626, 0.392)
S (0.486, 0.972, 0.308)
S (0.687, 0.373, 0.147)
S (0.058, 0.116, 0.991)

***

3.
First-principles (PBE) data for crystalline Rb3Pa3BeS8 at its relaxed geometry, as listed in the Alexandria database.

Energy: -5.87 eV/atom
Magnetic moment: 0.266 μB per atom
Fermi-level density of states: 1.013 states/eV/atom
Crystal system: monoclinic
Raw formation energy: -1325 meV per atom
V: 425 Å³/cell

Lattice parameters (Å, degrees): 7.863 7.862 9.153 115.44 90.00 120.00
Fractional positions:
Rb (0.000, 0.000, 0.000)
Rb (0.000, 0.500, 0.000)
Rb (0.500, 0.500, 0.000)
Pa (0.500, 0.000, 0.500)
Pa (0.500, 0.500, 0.500)
Pa (0.000, 0.500, 0.500)
Be (0.000, 0.000, 0.500)
S (0.266, 0.532, 0.298)
S (0.734, 0.468, 0.702)
S (0.790, 0.580, 0.327)
S (0.210, 0.420, 0.673)
S (0.787, 0.037, 0.325)
S (0.213, 0.963, 0.675)
S (0.250, 0.037, 0.325)
S (0.750, 0.963, 0.675)

***

4.
First-principles (PBE) data for crystalline RbPaBeS4 at its relaxed geometry, as listed in the Alexandria database.

Energy: -5.78 eV/atom
Magnetic moment: 0.000 μB per atom
Crystal system: monoclinic
Raw formation energy: -1394 meV per atom
V: 341 Å³/cell

Lattice parameters (Å, degrees): 6.173 6.425 9.107 90.00 109.33 90.00
Fractional positions:
Rb (0.740, 0.750, 0.944)
Rb (0.260, 0.250, 0.056)
Pa (0.761, 0.750, 0.445)
Pa (0.239, 0.250, 0.555)
Be (0.220, 0.750, 0.343)
Be (0.780, 0.250, 0.657)
S (0.011, 0.503, 0.693)
S (0.989, 0.003, 0.307)
S (0.989, 0.497, 0.307)
S (0.011, 0.997, 0.693)
S (0.408, 0.750, 0.190)
S (0.592, 0.250, 0.810)
S (0.438, 0.750, 0.574)
S (0.562, 0.250, 0.426)

***

5.
First-principles (PBE) data for crystalline Rb2PaBe2S6 at its relaxed geometry, as listed in the Alexandria database.

Energy: -5.08 eV/atom
Magnetic moment: 0.000 μB per atom
Fermi-level density of states: 0.500 states/eV/atom
Crystal system: trigonal
Raw formation energy: -1113 meV per atom
V: 300 Å³/cell

Lattice parameters (Å, degrees): 7.078 7.078 8.034 63.86 63.86 60.00
Fractional positions:
Rb (0.779, 0.779, 0.663)
Rb (0.221, 0.221, 0.337)
Pa (0.000, 0.000, 0.000)
Be (0.408, 0.408, 0.777)
Be (0.592, 0.592, 0.223)
S (0.752, 0.752, 0.231)
S (0.265, 0.752, 0.231)
S (0.752, 0.265, 0.231)
S (0.248, 0.735, 0.769)
S (0.735, 0.248, 0.769)
S (0.248, 0.248, 0.769)

***

6.
First-principles (PBE) data for crystalline Rb2PaBeSe5 at its relaxed geometry, as listed in the Alexandria database.

Energy: -4.68 eV/atom
Magnetic moment: 0.000 μB per atom
Fermi-level density of states: 0.697 states/eV/atom
Crystal system: orthorhombic
Raw formation energy: -1058 meV per atom
V: 610 Å³/cell

Lattice parameters (Å, degrees): 4.070 10.496 14.558 90.00 90.00 101.18
Fractional positions:
Rb (0.879, 0.758, 0.832)
Rb (0.126, 0.252, 0.689)
Rb (0.121, 0.242, 0.332)
Rb (0.874, 0.748, 0.189)
Pa (0.801, 0.601, 0.519)
Pa (0.199, 0.399, 0.019)
Be (0.582, 0.163, 0.925)
Be (0.418, 0.837, 0.425)
Se (0.328, 0.655, 0.010)
Se (0.690, 0.379, 0.883)
Se (0.516, 0.031, 0.810)
Se (0.308, 0.617, 0.649)
Se (0.937, 0.874, 0.506)
Se (0.672, 0.345, 0.510)
Se (0.310, 0.621, 0.383)
Se (0.484, 0.969, 0.310)
Se (0.692, 0.383, 0.149)
Se (0.063, 0.126, 0.006)

***

7.
First-principles (PBE) data for crystalline RbPaBeSe4 at its relaxed geometry, as listed in the Alexandria database.

Energy: -5.21 eV/atom
Magnetic moment: 0.023 μB per atom
Crystal system: monoclinic
Raw formation energy: -1193 meV per atom
V: 388 Å³/cell

Lattice parameters (Å, degrees): 6.416 6.759 9.514 90.00 109.85 90.00
Fractional positions:
Rb (0.747, 0.750, 0.947)
Rb (0.253, 0.250, 0.053)
Pa (0.763, 0.750, 0.445)
Pa (0.237, 0.250, 0.555)
Be (0.221, 0.750, 0.343)
Be (0.779, 0.250, 0.657)
Se (0.017, 0.506, 0.698)
Se (0.983, 0.006, 0.302)
Se (0.983, 0.494, 0.302)
Se (0.017, 0.994, 0.698)
Se (0.404, 0.750, 0.183)
Se (0.596, 0.250, 0.817)
Se (0.442, 0.750, 0.579)
Se (0.558, 0.250, 0.421)

***

8.
First-principles (PBE) data for crystalline Rb2PaBeTe5 at its relaxed geometry, as listed in the Alexandria database.

Energy: -4.14 eV/atom
Magnetic moment: 0.000 μB per atom
Fermi-level density of states: 0.447 states/eV/atom
Crystal system: orthorhombic
Raw formation energy: -714 meV per atom
V: 734 Å³/cell

Lattice parameters (Å, degrees): 4.206 11.305 15.716 90.00 90.00 100.72
Fractional positions:
Rb (0.882, 0.763, 0.826)
Rb (0.129, 0.259, 0.690)
Rb (0.118, 0.237, 0.326)
Rb (0.871, 0.741, 0.190)
Pa (0.800, 0.600, 0.518)
Pa (0.200, 0.400, 0.018)
Be (0.585, 0.169, 0.928)
Be (0.415, 0.831, 0.428)
Te (0.331, 0.662, 0.006)
Te (0.693, 0.386, 0.878)
Te (0.519, 0.038, 0.807)
Te (0.305, 0.609, 0.655)
Te (0.936, 0.872, 0.515)
Te (0.669, 0.338, 0.506)
Te (0.307, 0.614, 0.378)
Te (0.481, 0.962, 0.307)
Te (0.695, 0.391, 0.155)
Te (0.064, 0.128, 0.015)

***

Q: Which value of energy does entry 8 give?
A: -4.14 eV/atom

***

Q: Number 6 is which compound?
A: Rb2PaBeSe5